Entry 1:
The following is a PBE calculation of an optimized crystal structure of MnCr2Ni, from the Alexandria database.

Summary:
The value obtained for the total energy is -33.96 eV/f.u. The formation energy is 0.058 eV per atom. The magnetization comes out at 0.32 μB/f.u. The density of states at the Fermi level comes out at 3.75 states/eV per cell.

a b c (Å): 3.5407 3.5407 3.5984
angles (deg): 90.00 90.00 90.00
Closest atoms and distances in Å follow each position.
Fractional positions:
Mn1 0.0000 0.0000 0.0000  4 Ni 2.50, 8 Cr 2.52
Cr1 0.0000 0.5000 0.5000  4 Cr 2.50, 4 Mn 2.52, 4 Ni 2.52
Cr2 0.5000 0.0000 0.5000  4 Cr 2.50, 4 Mn 2.52, 4 Ni 2.52
Ni1 0.5000 0.5000 0.0000  4 Mn 2.50, 8 Cr 2.52

Entry 2:
The following is a PBE calculation of an optimized crystal structure of CdPSe2, from the Alexandria database.

Summary:
The value obtained for the total energy is -12.94 eV/f.u. Its uncorrected formation energy is 0.09 eV per atom. The magnetization comes out at 0.00 μB/f.u. The density of states at the Fermi level comes out at 2.21 states/eV per cell.

a b c (Å): 9.5205 9.5205 9.5205
angles (deg): 21.05 21.05 21.05
Closest atoms and distances in Å follow each position.
Fractional positions:
Cd1 0.0000 0.0000 0.0000  2 Se 3.14, 6 Cd 3.48
P1 0.5000 0.5000 0.5000  6 Se 2.52
Se1 0.1124 0.1124 0.1124  3 P 2.52
Se2 0.8876 0.8876 0.8876  3 P 2.52

Entry 3:
The following is a PBE calculation of an optimized crystal structure of AlGe2Ru, from the Alexandria database.

Summary:
The value obtained for the total energy is -20.62 eV/f.u. The formation energy is 0.407 eV per atom. The magnetization comes out at 0.00 μB/f.u. The density of states at the Fermi level comes out at 4.99 states/eV per cell.

a b c (Å): 6.6223 6.6223 6.6223
angles (deg): 126.26 126.26 79.46
Closest atoms and distances in Å follow each position.
Fractional positions:
Al1 0.0000 0.0000 0.0000  4 Ge 2.57
Al2 0.7500 0.2500 0.5000  4 Ge 2.57
Ge1 0.1518 0.6250 0.0268  2 Ru 2.38, 2 Al 2.57
Ge2 0.3750 0.4018 0.5268  2 Ru 2.38, 2 Al 2.57
Ge3 0.5982 0.1250 0.9732  2 Ru 2.38, 2 Al 2.57
Ge4 0.8750 0.8482 0.4732  2 Ru 2.38, 2 Al 2.57
Ru1 0.2500 0.7500 0.5000  4 Ge 2.38
Ru2 0.5000 0.5000 0.0000  4 Ge 2.38

Entry 4:
The following is a PBE calculation of an optimized crystal structure of NbO3, from the Alexandria database.

Summary:
The value obtained for the total energy is -32.73 eV/f.u. Its uncorrected formation energy is -1.95 eV per atom. The magnetization comes out at 0.98 μB/f.u. The density of states at the Fermi level comes out at 4.13 states/eV per cell.

a b c (Å): 3.9862 3.9862 4.0025
angles (deg): 90.00 90.00 90.00
Closest atoms and distances in Å follow each position.
Fractional positions:
Nb1 0.0000 0.0000 0.0000  6 O 1.93-2.08
O1 0.0000 0.0000 0.5190  2 Nb 1.93-2.08
O2 0.0000 0.5000 0.0228  2 Nb 2.00
O3 0.5000 0.0000 0.0228  2 Nb 2.00

Entry 5:
The following is a PBE calculation of an optimized crystal structure of Al2ZnSeCl, from the Alexandria database.

Summary:
The value obtained for the total energy is -13.11 eV/f.u. Its uncorrected formation energy is 0.20 eV per atom. The magnetization comes out at 0.00 μB/f.u. The density of states at the Fermi level comes out at 2.70 states/eV per cell.

a b c (Å): 5.1524 5.1524 4.6941
angles (deg): 90.00 90.00 90.00
Closest atoms and distances in Å follow each position.
Fractional positions:
Al1 0.0000 0.5000 0.0000  2 Zn 2.58
Al2 0.5000 0.0000 0.0000  2 Zn 2.58
Zn1 0.0000 0.0000 0.0000  2 Se 2.35, 4 Al 2.58
Se1 0.0000 0.0000 0.5000  2 Zn 2.35
Cl1 0.5000 0.5000 0.5000  8 Al 3.49, 4 Se 3.64

Entry 6:
The following is a PBE calculation of an optimized crystal structure of NaGeI2, from the Alexandria database.

Summary:
The value obtained for the total energy is -9.79 eV/f.u. Its uncorrected formation energy is -0.19 eV per atom. The magnetization comes out at 0.00 μB/f.u. The density of states at the Fermi level comes out at 1.54 states/eV per cell.

a b c (Å): 10.3448 10.3448 10.3448
angles (deg): 24.60 24.60 24.60
Closest atoms and distances in Å follow each position.
Fractional positions:
Na1 0.0000 0.0000 0.0000  2 I 3.30
Ge1 0.5000 0.5000 0.5000  6 I 3.07
I1 0.1096 0.1096 0.1096  3 Ge 3.07, 1 Na 3.30
I2 0.8904 0.8904 0.8904  3 Ge 3.07, 1 Na 3.30

Entry 7:
The following is a PBE calculation of an optimized crystal structure of RbRu3Cl, from the Alexandria database.

Summary:
The value obtained for the total energy is -23.24 eV/f.u. Its uncorrected formation energy is 1.48 eV per atom. The magnetization comes out at 0.02 μB/f.u. The density of states at the Fermi level comes out at 7.19 states/eV per cell.

a b c (Å): 4.5644 4.5644 4.5644
angles (deg): 90.00 90.00 90.00
Closest atoms and distances in Å follow each position.
Fractional positions:
Rb1 0.0000 0.0000 0.0000  12 Ru 3.23
Ru1 0.0000 0.5000 0.5000  2 Cl 2.28
Ru2 0.5000 0.0000 0.5000  2 Cl 2.28
Ru3 0.5000 0.5000 0.0000  2 Cl 2.28
Cl1 0.5000 0.5000 0.5000  6 Ru 2.28

Entry 8:
The following is a PBE calculation of an optimized crystal structure of Ho2Zn3Ru, from the Alexandria database.

Summary:
The value obtained for the total energy is -24.60 eV/f.u. The formation energy is -0.392 eV per atom. The magnetization comes out at 0.00 μB/f.u. The density of states at the Fermi level comes out at 3.26 states/eV per cell.

a b c (Å): 5.3177 5.3177 5.4269
angles (deg): 119.30 119.30 60.10
Closest atoms and distances in Å follow each position.
Fractional positions:
Ho1 0.1278 0.1278 0.3826  3 Ru 3.11-3.12, 9 Zn 3.16-3.17, 4 Ho 3.25-3.43
Ho2 0.8722 0.8722 0.6174  3 Ru 3.11-3.12, 9 Zn 3.16-3.17, 4 Ho 3.25-3.43
Zn1 0.0000 0.5000 0.0000  4 Zn 2.66, 2 Ru 2.71
Zn2 0.5000 0.0000 0.0000  4 Zn 2.66, 2 Ru 2.71
Zn3 0.5000 0.5000 0.0000  4 Zn 2.66, 2 Ru 2.71
Ru1 0.5000 0.5000 0.5000  6 Zn 2.71

Entry 9:
The following is a PBE calculation of an optimized crystal structure of TiTeIrO6, from the Alexandria database.

Summary:
The value obtained for the total energy is -62.08 eV/f.u. Its uncorrected formation energy is -1.38 eV per atom. The magnetization comes out at 0.00 μB/f.u. The density of states at the Fermi level comes out at 7.82 states/eV per cell.

a b c (Å): 5.2702 5.2702 8.6210
angles (deg): 90.00 90.00 120.00
Closest atoms and distances in Å follow each position.
Fractional positions:
Ti1 0.3333 0.6667 0.2500  6 O 1.98
Ti2 0.6667 0.3333 0.7500  6 O 1.98
Te1 0.3333 0.6667 0.7500  6 O 2.16
Te2 0.6667 0.3333 0.2500  6 O 2.16
Ir1 0.0000 0.0000 0.0000  6 O 2.04
Ir2 0.0000 0.0000 0.5000  6 O 2.04
O1 0.0265 0.3418 0.1254  1 Ti 1.98, 1 Ir 2.04, 1 Te 2.16
O2 0.0265 0.6847 0.3746  1 Ti 1.98, 1 Ir 2.04, 1 Te 2.16
O3 0.3153 0.3418 0.3746  1 Ti 1.98, 1 Ir 2.04, 1 Te 2.16
O4 0.3153 0.9735 0.1254  1 Ti 1.98, 1 Ir 2.04, 1 Te 2.16
O5 0.3418 0.0265 0.6254  1 Ti 1.98, 1 Ir 2.04, 1 Te 2.16
O6 0.3418 0.3153 0.8746  1 Ti 1.98, 1 Ir 2.04, 1 Te 2.16
O7 0.6582 0.6847 0.1254  1 Ti 1.98, 1 Ir 2.04, 1 Te 2.16
O8 0.6582 0.9735 0.3746  1 Ti 1.98, 1 Ir 2.04, 1 Te 2.16
O9 0.6847 0.0265 0.8746  1 Ti 1.98, 1 Ir 2.04, 1 Te 2.16
O10 0.6847 0.6582 0.6254  1 Ti 1.98, 1 Ir 2.04, 1 Te 2.16
O11 0.9735 0.3153 0.6254  1 Ti 1.98, 1 Ir 2.04, 1 Te 2.16
O12 0.9735 0.6582 0.8746  1 Ti 1.98, 1 Ir 2.04, 1 Te 2.16

Entry 10:
The following is a PBE calculation of an optimized crystal structure of Tl2BiB2, from the Alexandria database.

Summary:
The value obtained for the total energy is -14.90 eV/f.u. The formation energy is 1.415 eV per atom. The magnetization comes out at 0.00 μB/f.u. The density of states at the Fermi level comes out at 3.08 states/eV per cell.

a b c (Å): 6.5695 6.5695 6.5695
angles (deg): 141.88 141.88 55.01
Closest atoms and distances in Å follow each position.
Fractional positions:
Tl1 0.1381 0.1381 0.0000  4 B 2.51
Tl2 0.8619 0.8619 0.0000  4 B 2.51
Bi1 0.5000 0.5000 0.0000  8 Tl 3.43, 8 B 3.62
B1 0.2500 0.7500 0.5000  4 Tl 2.51
B2 0.7500 0.2500 0.5000  4 Tl 2.51

Entry 11:
The following is a PBE calculation of an optimized crystal structure of RbLiPbF6, from the Alexandria database.

Summary:
The value obtained for the total energy is -39.76 eV/f.u. Its uncorrected formation energy is -2.44 eV per atom. The magnetization comes out at 0.14 μB/f.u. The density of states at the Fermi level comes out at 0.00 states/eV per cell.

a b c (Å): 5.6029 5.6029 12.1662
angles (deg): 90.00 90.00 120.00
Closest atoms and distances in Å follow each position.
Fractional positions:
Rb1 0.0000 0.0000 0.0000  6 F 2.84
Rb2 0.0000 0.0000 0.5000  6 F 2.84
Li1 0.3333 0.6667 0.2500  6 F 2.10
Li2 0.6667 0.3333 0.7500  6 F 2.10
Pb1 0.3333 0.6667 0.7500  6 F 2.11
Pb2 0.6667 0.3333 0.2500  6 F 2.11
F1 0.0018 0.3821 0.1539  1 Li 2.10, 1 Pb 2.11
F2 0.0018 0.6197 0.3461  1 Li 2.10, 1 Pb 2.11
F3 0.3803 0.3821 0.3461  1 Li 2.10, 1 Pb 2.11
F4 0.3803 0.9982 0.1539  1 Li 2.10, 1 Pb 2.11
F5 0.3821 0.0018 0.6539  1 Li 2.10, 1 Pb 2.11
F6 0.3821 0.3803 0.8461  1 Li 2.10, 1 Pb 2.11
F7 0.6179 0.6197 0.1539  1 Li 2.10, 1 Pb 2.11
F8 0.6179 0.9982 0.3461  1 Li 2.10, 1 Pb 2.11
F9 0.6197 0.0018 0.8461  1 Li 2.10, 1 Pb 2.11
F10 0.6197 0.6179 0.6539  1 Li 2.10, 1 Pb 2.11
F11 0.9982 0.3803 0.6539  1 Li 2.10, 1 Pb 2.11
F12 0.9982 0.6179 0.8461  1 Li 2.10, 1 Pb 2.11

Entry 12:
The following is a PBE calculation of an optimized crystal structure of Sr5AlZn4, from the Alexandria database.

Summary:
The value obtained for the total energy is -18.89 eV/f.u. The formation energy is -0.164 eV per atom. The magnetization comes out at 0.00 μB/f.u. The density of states at the Fermi level comes out at 7.12 states/eV per cell.

a b c (Å): 3.9202 3.9202 19.5769
angles (deg): 90.00 90.00 90.00
Closest atoms and distances in Å follow each position.
Fractional positions:
Sr1 0.0000 0.0000 0.0000  8 Zn 3.39
Sr2 0.0000 0.0000 0.2002  8 Zn 3.40-3.41
Sr3 0.0000 0.0000 0.3996  4 Zn 3.38, 4 Al 3.40
Sr4 0.0000 0.0000 0.6004  4 Zn 3.38, 4 Al 3.40
Sr5 0.0000 0.0000 0.7998  8 Zn 3.40-3.41
Al1 0.5000 0.5000 0.5000  8 Sr 3.40
Zn1 0.5000 0.5000 0.0995  8 Sr 3.39-3.40
Zn2 0.5000 0.5000 0.3012  8 Sr 3.38-3.41
Zn3 0.5000 0.5000 0.6988  8 Sr 3.38-3.41
Zn4 0.5000 0.5000 0.9005  8 Sr 3.39-3.40